1.
## AgGeSe3 (PBEsol)

Data for AgGeSe3 after structural relaxation.

Cell lengths 4.953, 4.953, 4.953 Å; angles 90.00, 90.00, 90.00 degrees
Fractional positions:
Se1 0.500 0.000 0.000
Se2 0.000 0.500 0.000
Se3 0.000 0.000 0.500
Ag1 0.000 0.000 0.000
Ge1 0.500 0.500 0.500

Properties
DFT total energy	-3.377	eV/atom



2.
## Zr2Be2Tc (PBEsol)

Data for Zr2Be2Tc after structural relaxation.

Cell lengths 3.515, 6.462, 6.462 Å; angles 90.00, 90.00, 90.00 degrees
Fractional positions:
Be1 0.000 0.116 0.384
Be2 0.000 0.616 0.116
Be3 0.000 0.884 0.616
Be4 0.000 0.384 0.884
Zr1 0.500 0.683 0.817
Zr2 0.500 0.317 0.183
Zr3 0.500 0.817 0.317
Zr4 0.500 0.183 0.683
Tc1 0.000 0.000 0.000
Tc2 0.000 0.500 0.500

Properties
DFT total energy	-7.670	eV/atom



3.
## RbPH3O4F (PBEsol)

Data for RbPH3O4F after structural relaxation.

Cell lengths 4.551, 9.040, 12.041 Å; angles 90.00, 90.00, 90.00 degrees
Fractional positions:
H1 0.809 0.220 0.988
H2 0.879 0.603 0.492
H3 0.734 0.402 0.297
H4 0.266 0.598 0.797
H5 0.621 0.103 0.492
H6 0.121 0.397 0.992
H7 0.309 0.280 0.488
H8 0.766 0.902 0.297
H9 0.691 0.720 0.988
H10 0.191 0.780 0.488
H11 0.234 0.098 0.797
H12 0.379 0.897 0.992
O1 0.665 0.866 0.949
O2 0.330 0.408 0.029
O3 0.306 0.386 0.526
O4 0.670 0.592 0.529
O5 0.806 0.114 0.026
O6 0.476 0.520 0.842
O7 0.024 0.020 0.842
O8 0.170 0.908 0.029
O9 0.524 0.480 0.342
O10 0.335 0.134 0.449
O11 0.830 0.092 0.529
O12 0.835 0.366 0.949
O13 0.976 0.980 0.342
O14 0.694 0.614 0.026
O15 0.194 0.886 0.526
O16 0.165 0.634 0.449
Rb1 0.639 0.843 0.699
Rb2 0.361 0.157 0.199
Rb3 0.861 0.343 0.699
Rb4 0.139 0.657 0.199
P1 0.920 0.978 0.957
P2 0.580 0.478 0.957
P3 0.420 0.522 0.457
P4 0.080 0.022 0.457
F1 0.388 0.158 0.749
F2 0.612 0.842 0.249
F3 0.112 0.658 0.749
F4 0.888 0.342 0.249

Properties
DFT total energy	-5.819	eV/atom



4.
## CdIn2Re (PBEsol)

Data for CdIn2Re after structural relaxation.

Cell lengths 3.673, 4.382, 5.439 Å; angles 113.76, 109.74, 90.00 degrees
Fractional positions:
In1 0.000 0.000 0.000
In2 0.759 0.259 0.517
Cd1 0.244 0.744 0.489
Re1 0.497 0.497 0.995

Properties
DFT total energy	-4.658	eV/atom



5.
## BeTcAs (PBEsol)

Data for BeTcAs after structural relaxation.

Cell lengths 3.964, 3.964, 3.964 Å; angles 60.00, 60.00, 60.00 degrees
Fractional positions:
As1 0.000 0.000 0.000
Tc1 0.250 0.250 0.250
Be1 0.500 0.500 0.500

Properties
excess energy over the best structure of this formula in the dataset	0.628	eV per atom
DFT total energy	-6.490	eV/atom



6.
## InMoAs2Se (PBEsol)

Data for InMoAs2Se after structural relaxation.

Cell lengths 5.029, 5.029, 5.135 Å; angles 90.00, 90.00, 90.00 degrees
Fractional positions:
As1 0.000 0.500 0.000
As2 0.500 0.000 0.000
Se1 0.000 0.000 0.500
Mo1 0.500 0.500 0.500
In1 0.000 0.000 0.000

Properties
DFT total energy	-4.313	eV/atom



7.
## Na3Ni2O4 (PBEsol)

Data for Na3Ni2O4 after structural relaxation.

Cell lengths 4.829, 4.829, 10.278 Å; angles 90.00, 90.00, 109.74 degrees
Fractional positions:
Na1 0.648 0.352 0.434
Na2 0.352 0.648 0.934
Na3 0.700 0.300 0.750
Na4 0.300 0.700 0.250
Na5 0.648 0.352 0.066
Na6 0.352 0.648 0.566
Ni1 0.000 0.000 0.000
Ni2 0.078 0.922 0.750
Ni3 0.922 0.078 0.250
Ni4 0.000 0.000 0.500
O1 0.861 0.701 0.616
O2 0.139 0.299 0.384
O3 0.139 0.299 0.116
O4 0.701 0.861 0.384
O5 0.701 0.861 0.116
O6 0.861 0.701 0.884
O7 0.299 0.139 0.616
O8 0.299 0.139 0.884

Properties
excess energy over the best structure of this formula in the dataset	0.000	eV per atom
DFT total energy	-5.387	eV/atom



8.
## CrCoNi2 (PBEsol)

Data for CrCoNi2 after structural relaxation.

Cell lengths 2.438, 3.452, 4.908 Å; angles 90.00, 90.00, 90.00 degrees
Fractional positions:
Co1 0.000 0.000 0.506
Ni1 0.500 0.500 0.249
Ni2 0.000 0.000 0.002
Cr1 0.500 0.500 0.743

Properties
DFT total energy	-7.560	eV/atom



9.
## TaPbAu2 (PBEsol)

Data for TaPbAu2 after structural relaxation.

Cell lengths 3.090, 4.617, 5.360 Å; angles 90.00, 90.03, 90.00 degrees
Fractional positions:
Au1 0.875 0.000 0.959
Au2 0.875 0.500 0.267
Ta1 0.374 0.500 0.807
Pb1 0.376 0.000 0.467

Properties
DFT total energy	-5.872	eV/atom



10.
## In2ReW (PBEsol)

Data for In2ReW after structural relaxation.

Cell lengths 2.935, 2.935, 9.482 Å; angles 81.10, 81.10, 60.00 degrees
Fractional positions:
In1 0.249 0.249 0.254
In2 0.751 0.751 0.746
Re1 0.500 0.500 0.500
W1 0.000 0.000 0.000

Properties
excess energy over the best structure of this formula in the dataset	0.114	eV per atom
DFT total energy	-7.616	eV/atom



11.
## YSb2Ir (PBEsol)

Data for YSb2Ir after structural relaxation.

Cell lengths 4.246, 4.792, 4.792 Å; angles 105.43, 90.00, 90.00 degrees
Fractional positions:
Y1 0.500 0.500 0.500
Sb1 0.000 0.203 0.797
Sb2 0.000 0.797 0.203
Ir1 0.500 0.000 0.000

Properties
DFT total energy	-6.992	eV/atom



12.
## Hg2PSe (PBEsol)

Data for Hg2PSe after structural relaxation.

Cell lengths 4.852, 4.852, 4.852 Å; angles 60.00, 60.00, 60.00 degrees
Fractional positions:
Se1 0.250 0.250 0.250
P1 0.500 0.500 0.500
Hg1 0.750 0.750 0.750
Hg2 0.000 0.000 0.000

Properties
DFT total energy	-2.229	eV/atom



What is the DFT total energy in the sixth record?
-4.313 eV/atom